Density functional theory data (PBE) for a relaxed structure of Pu3UPa2As6.

Structure (extended XYZ):
```
12
Lattice="-0.512 -1.679 -3.721 8.131 -0.885 -0.720 -2.320 -6.864 5.692" Properties=species:S:1:pos:R:3 pbc="T T T"
Pu 3.809 -1.282 -2.220
Pu -0.609 -6.111 0.567
Pu 5.907 -3.318 0.684
U -0.256 -0.840 -1.860
Pa 3.453 -6.584 0.222
Pa 1.846 -2.844 1.030
As 5.720 -5.968 1.906
As 3.598 -3.949 -0.987
As -0.422 -3.461 -0.655
As 2.013 -0.225 -0.176
As 3.285 -9.203 1.427
As 1.700 -5.479 2.239
```



Density functional theory data (PBE) for a relaxed structure of PuU4Pa3As8.

Structure (extended XYZ):
```
16
Lattice="8.187 0.000 0.000 0.000 8.185 -0.005 -4.094 -4.089 5.791" Properties=species:S:1:pos:R:3 pbc="T T T"
Pu 0.000 4.092 -0.002
U 4.094 0.000 0.000
U 2.047 -2.044 2.896
U 0.000 0.000 0.000
U -2.047 -2.044 2.896
Pa 4.094 4.092 -0.002
Pa 2.047 2.048 2.893
Pa -2.047 2.048 2.893
As 2.051 6.147 -0.001
As 0.000 4.098 2.901
As 0.000 -0.003 2.891
As 6.136 6.147 -0.001
As -2.042 -2.051 5.787
As 4.094 4.099 2.896
As 4.094 -0.002 2.885
As 2.042 -2.051 5.787
```



Density functional theory data (PBE) for a relaxed structure of Y3PuPa2As6.

Structure (extended XYZ):
```
12
Lattice="-0.850 -6.800 -1.982 4.790 1.682 5.011 -5.999 0.908 3.737" Properties=species:S:1:pos:R:3 pbc="T T T"
Y 0.857 0.731 5.722
Y -2.915 -4.942 1.045
Y -1.029 -2.105 3.383
Pu 0.000 0.000 0.000
Pa 2.911 -1.144 2.682
Pa 1.029 -3.975 0.348
As -2.513 -4.579 3.903
As 1.450 -3.591 3.185
As 0.455 0.368 2.864
As -0.613 -1.721 6.259
As -3.508 -0.620 3.582
As -1.445 -2.490 0.508
```



For reference, energy of formation from the pure elements by record: -1000; -880; -1308 meV per atom.